# 1
# Li3Pa3AgSe8 GGA-PBE optimized geometry
# Formation energy (no corrections) ... -26.51 kcal/mol of atoms
# Volume ... 24.7 A^3/atom
# Density ... 6.51 g cm⁻³
# Total magnetization ... 0.201 μB/atom
data_Li3Pa3AgSe8
_space_group_name_H-M_alt 'R -3 m'
_space_group_IT_number 166
_space_group_name_Hall '-R 3 2"'
_cell_length_a 8.0957
_cell_length_b 8.0957
_cell_length_c 19.5920
_cell_angle_alpha 90.00
_cell_angle_beta 90.00
_cell_angle_gamma 120.00
loop_
_atom_site_label
_atom_site_fract_x
_atom_site_fract_y
_atom_site_fract_z
Li1 0.0000 0.5000 0.0000
Pa1 0.0000 0.5000 0.5000
Ag1 0.0000 0.0000 0.5000
Se1 0.0000 0.0000 0.2544
Se2 0.0087 0.5044 0.7494



# 2
# LiPaAgSe4 GGA-PBE optimized geometry
# Formation energy (no corrections) ... -20.60 kcal/mol of atoms
# Volume ... 25.4 A^3/atom
# Density ... 6.17 g cm⁻³
# Total magnetization ... 0.000 μB/atom
data_LiPaAgSe4
_space_group_name_H-M_alt 'I m m a'
_space_group_IT_number 74
_space_group_name_Hall '-I 2b 2'
_cell_length_a 8.570
_cell_length_b 8.619
_cell_length_c 9.637
_cell_angle_alpha 90.00
_cell_angle_beta 90.00
_cell_angle_gamma 90.00
loop_
_atom_site_label
_atom_site_fract_x
_atom_site_fract_y
_atom_site_fract_z
Li1 0.000 0.250 0.135
Pa1 0.000 0.000 0.500
Ag1 0.250 0.250 0.750
Se1 0.000 0.032 0.779
Se2 0.214 0.250 0.470



# 3
# LiPaSiAg GGA-PBE optimized geometry
# Formation energy (no corrections) ... -0.95 kcal/mol of atoms
# Volume ... 19.8 A^3/atom
# Density ... 7.83 g cm⁻³
# Total magnetization ... 0.130 μB/atom
data_LiPaSiAg
_space_group_name_H-M_alt 'F -4 3 m'
_space_group_IT_number 216
_space_group_name_Hall 'F -4 2 3'
_cell_length_a 6.820
_cell_length_b 6.820
_cell_length_c 6.820
_cell_angle_alpha 90.00
_cell_angle_beta 90.00
_cell_angle_gamma 90.00
loop_
_atom_site_label
_atom_site_fract_x
_atom_site_fract_y
_atom_site_fract_z
Li1 0.000 0.000 0.000
Pa1 0.000 0.000 0.500
Si1 0.250 0.250 0.250
Ag1 0.250 0.250 0.750



# 4
# LiPaAgSn GGA-PBE optimized geometry
# E_form ... -0.034 eV/atom
# Volume ... 22.8 A^3/atom
# Density ... 8.47 g cm⁻³
# Total magnetization ... 0.193 μB/atom
data_LiPaAgSn
_space_group_name_H-M_alt 'F -4 3 m'
_space_group_IT_number 216
_space_group_name_Hall 'F -4 2 3'
_cell_length_a 7.143
_cell_length_b 7.143
_cell_length_c 7.143
_cell_angle_alpha 90.00
_cell_angle_beta 90.00
_cell_angle_gamma 90.00
loop_
_atom_site_label
_atom_site_fract_x
_atom_site_fract_y
_atom_site_fract_z
Li1 0.000 0.000 0.000
Pa1 0.000 0.000 0.500
Ag1 0.250 0.250 0.250
Sn1 0.250 0.250 0.750



# 5
# Li4Pa3AgTe8 GGA-PBE optimized geometry
# Formation energy (no corrections) ... -18.05 kcal/mol of atoms
# Volume ... 28.3 A^3/atom
# Density ... 6.78 g cm⁻³
# Total magnetization ... 0.251 μB/atom
data_Li4Pa3AgTe8
_space_group_name_H-M_alt 'R -3 m'
_space_group_IT_number 166
_space_group_name_Hall '-R 3 2"'
_cell_length_a 8.5597
_cell_length_b 8.5597
_cell_length_c 21.4041
_cell_angle_alpha 90.00
_cell_angle_beta 90.00
_cell_angle_gamma 120.00
loop_
_atom_site_label
_atom_site_fract_x
_atom_site_fract_y
_atom_site_fract_z
Li1 0.0000 0.0000 0.0000
Li2 0.0000 0.5000 0.0000
Pa1 0.0000 0.5000 0.5000
Ag1 0.0000 0.0000 0.5000
Te1 0.0000 0.0000 0.2549
Te2 0.0013 0.5007 0.2525



# 6
# LiPaAg2Te4 GGA-PBE optimized geometry
# Formation energy (no corrections) ... -11.14 kcal/mol of atoms
# Volume ... 31.8 A^3/atom
# Density ... 6.30 g cm⁻³
# Total magnetization ... 0.018 μB/atom
data_LiPaAg2Te4
_space_group_name_H-M_alt 'C 1 2 1'
_space_group_IT_number 5
_space_group_name_Hall 'C 2y'
_cell_length_a 8.294
_cell_length_b 8.842
_cell_length_c 7.996
_cell_angle_alpha 90.00
_cell_angle_beta 119.84
_cell_angle_gamma 90.00
loop_
_atom_site_label
_atom_site_fract_x
_atom_site_fract_y
_atom_site_fract_z
Li1 0.000 0.000 0.000
Pa1 0.000 0.246 0.500
Ag1 0.083 0.545 0.782
Te1 0.217 0.247 0.927
Te2 0.228 0.991 0.468